The following is a DFT calculation (PBEsol) of an optimized crystal structure of BeTc2Os.

Cell lengths 4.870, 4.870, 4.870 Å; angles 144.74, 130.54, 62.19 degrees
Sites, in units of the cell vectors:
Be1 0.000 0.000 0.000
Tc1 0.237 0.737 0.500
Tc2 0.763 0.263 0.500
Os1 0.500 0.500 0.000

Its formation energy is -0.03 eV per atom. The total energy is -9.716 eV per atom.